No. 1
VASP calculation (PBE-GGA) on a relaxed structure of NbSbCI2.

Lattice parameters (Å, degrees): 5.495 5.495 5.478 90.00 90.00 90.00
Fractional positions:
Nb 0.000 0.000 0.000
Sb 0.000 0.000 0.500
C 0.500 0.500 0.500
I 0.000 0.500 0.000
I 0.500 0.000 0.000

Values from the calculation:
Space group ... P4/mmm (123)
D(E_F) ... 6.881 states/eV/cell
E_form (uncorrected) ... 1.575 eV per atom
Distance to the lowest polymorph of the same formula ... 64 kJ/mol of formula units

No. 2
VASP calculation (PBE-GGA) on a relaxed structure of MnSbI2Br.

Lattice parameters (Å, degrees): 5.254 5.254 5.141 90.00 90.00 90.00
Fractional positions:
Mn 0.000 0.000 0.000
Sb 0.000 0.000 0.500
I 0.000 0.500 0.000
I 0.500 0.000 0.000
Br 0.500 0.500 0.500

Values from the calculation:
Space group ... P4/mmm (123)
D(E_F) ... 9.099 states/eV/cell
E_form (uncorrected) ... 0.371 eV per atom
Distance to the lowest polymorph of the same formula ... 0 kJ/mol of formula units

No. 3
VASP calculation (PBE-GGA) on a relaxed structure of Th3CuSe2.

Lattice parameters (Å, degrees): 5.927 12.627 8.406 90.00 90.01 90.00
Fractional positions:
Th 0.249 0.250 0.374
Th 0.249 0.250 0.874
Th 0.250 0.577 0.386
Th 0.250 0.581 0.872
Th 0.250 0.919 0.372
Th 0.250 0.923 0.886
Th 0.750 0.077 0.114
Th 0.750 0.081 0.628
Th 0.750 0.419 0.128
Th 0.750 0.423 0.614
Th 0.751 0.750 0.126
Th 0.751 0.750 0.626
Cu 0.250 0.090 0.129
Cu 0.250 0.410 0.629
Cu 0.750 0.590 0.371
Cu 0.750 0.910 0.871
Se 0.250 0.083 0.625
Se 0.250 0.417 0.125
Se 0.251 0.746 0.129
Se 0.251 0.754 0.629
Se 0.749 0.246 0.371
Se 0.749 0.254 0.871
Se 0.750 0.583 0.875
Se 0.750 0.917 0.375

Values from the calculation:
Space group ... P2_1/c (14)
D(E_F) ... 15.511 states/eV/cell
E_form (uncorrected) ... -1.073 eV per atom

No. 4
VASP calculation (PBE-GGA) on a relaxed structure of NaHoTlPt.

Lattice parameters (Å, degrees): 4.935 4.935 4.935 60.00 60.00 60.00
Fractional positions:
Na 0.000 0.000 0.000
Ho 0.750 0.750 0.750
Tl 0.250 0.250 0.250
Pt 0.500 0.500 0.500

Values from the calculation:
Space group ... F-43m (216)
D(E_F) ... 4.165 states/eV/cell
Formation energy from the elements ... -166.6 kJ/mol of formula units

No. 5
VASP calculation (PBE-GGA) on a relaxed structure of La2SmPb.

Lattice parameters (Å, degrees): 4.386 4.386 6.989 90.00 90.00 90.00
Fractional positions:
La 0.000 0.000 0.226
La 0.000 0.000 0.774
Sm 0.500 0.500 0.500
Pb 0.500 0.500 0.000

Values from the calculation:
Space group ... P4/mmm (123)
D(E_F) ... 5.072 states/eV/cell
Distance to the lowest polymorph of the same formula ... 31 kJ/mol of formula units
Formation energy from the elements ... -109.5 kJ/mol of formula units

No. 6
VASP calculation (PBE-GGA) on a relaxed structure of MoOsW2.

Lattice parameters (Å, degrees): 2.742 2.742 8.876 90.00 90.00 109.74
Fractional positions:
Mo 0.000 0.000 0.000
Os 0.500 0.500 0.247
W 0.000 0.000 0.494
W 0.500 0.500 0.748

Values from the calculation:
Space group ... Cmm2 (35)
D(E_F) ... 4.693 states/eV/cell
Distance to the lowest polymorph of the same formula ... 18 kJ/mol of formula units
Formation energy from the elements ... 69.8 kJ/mol of formula units

No. 7
VASP calculation (PBE-GGA) on a relaxed structure of ZrTe7SeCl6.

Lattice parameters (Å, degrees): 12.022 12.068 15.785 90.00 111.76 90.00
Fractional positions:
Zr 0.206 0.212 0.107
Zr 0.206 0.288 0.607
Zr 0.794 0.712 0.393
Zr 0.794 0.788 0.893
Te 0.129 0.643 0.808
Te 0.129 0.857 0.308
Te 0.139 0.734 0.164
Te 0.139 0.766 0.664
Te 0.196 0.664 0.449
Te 0.196 0.836 0.949
Te 0.262 0.501 0.351
Te 0.262 0.999 0.851
Te 0.355 0.539 0.866
Te 0.355 0.961 0.366
Te 0.360 0.557 0.044
Te 0.360 0.943 0.544
Te 0.361 0.646 0.262
Te 0.361 0.854 0.762
Te 0.639 0.146 0.238
Te 0.639 0.354 0.738
Te 0.640 0.057 0.456
Te 0.640 0.443 0.956
Te 0.645 0.039 0.634
Te 0.645 0.461 0.134
Te 0.738 0.001 0.149
Te 0.738 0.499 0.649
Te 0.804 0.164 0.051
Te 0.804 0.336 0.551
Te 0.861 0.234 0.336
Te 0.861 0.266 0.836
Te 0.871 0.143 0.692
Te 0.871 0.357 0.192
Se 0.407 0.733 0.543
Se 0.407 0.767 0.043
Se 0.593 0.233 0.957
Se 0.593 0.267 0.457
Cl 0.062 0.133 0.560
Cl 0.062 0.367 0.060
Cl 0.075 0.128 0.183
Cl 0.075 0.372 0.683
Cl 0.095 0.112 0.961
Cl 0.095 0.388 0.461
Cl 0.331 0.200 0.531
Cl 0.331 0.300 0.031
Cl 0.332 0.196 0.753
Cl 0.332 0.304 0.253
Cl 0.343 0.048 0.155
Cl 0.343 0.452 0.655
Cl 0.657 0.548 0.345
Cl 0.657 0.952 0.845
Cl 0.668 0.696 0.747
Cl 0.668 0.804 0.247
Cl 0.669 0.700 0.969
Cl 0.669 0.800 0.469
Cl 0.905 0.612 0.539
Cl 0.905 0.888 0.039
Cl 0.925 0.628 0.317
Cl 0.925 0.872 0.817
Cl 0.938 0.633 0.940
Cl 0.938 0.867 0.440

Values from the calculation:
Space group ... P2_1/c (14)
E_form (uncorrected) ... -0.699 eV per atom

No. 8
VASP calculation (PBE-GGA) on a relaxed structure of AgTe2Br.

Lattice parameters (Å, degrees): 3.806 3.806 7.663 90.00 90.00 90.00
Fractional positions:
Ag 0.000 0.000 0.000
Te 0.500 0.500 0.186
Te 0.500 0.500 0.814
Br 0.000 0.000 0.500

Values from the calculation:
Space group ... P4/mmm (123)
D(E_F) ... 1.964 states/eV/cell
E_form (uncorrected) ... 0.114 eV per atom

No. 9
VASP calculation (PBE-GGA) on a relaxed structure of Tb4Tm3S8.

Lattice parameters (Å, degrees): 7.760 7.760 7.755 119.96 119.96 90.02
Fractional positions:
Tb 0.000 0.000 0.000
Tb 0.000 0.500 0.000
Tb 0.500 0.000 0.000
Tb 0.500 0.500 0.500
Tm 0.000 0.500 0.500
Tm 0.500 0.000 0.500
Tm 0.500 0.500 0.000
S 0.247 0.753 0.500
S 0.250 0.250 0.505
S 0.250 0.250 0.995
S 0.252 0.748 0.000
S 0.748 0.252 0.000
S 0.750 0.750 0.005
S 0.750 0.750 0.495
S 0.753 0.247 0.500

Values from the calculation:
Space group ... C2/m (12)
D(E_F) ... 5.976 states/eV/cell
E_form (uncorrected) ... -2.033 eV per atom

No. 10
VASP calculation (PBE-GGA) on a relaxed structure of Nd3PuTh2Se6.

Lattice parameters (Å, degrees): 9.430 9.430 8.428 103.60 103.60 25.75
Fractional positions:
Nd 0.000 0.000 0.000
Nd 0.332 0.332 0.667
Nd 0.668 0.668 0.333
Pu 0.000 0.000 0.500
Th 0.332 0.332 0.164
Th 0.668 0.668 0.836
Se 0.165 0.165 0.583
Se 0.166 0.166 0.084
Se 0.499 0.499 0.255
Se 0.501 0.501 0.745
Se 0.834 0.834 0.916
Se 0.835 0.835 0.417

Values from the calculation:
Space group ... C2/m (12)
D(E_F) ... 12.078 states/eV/cell
E_form (uncorrected) ... -1.688 eV per atom

No. 11
VASP calculation (PBE-GGA) on a relaxed structure of SrY4TmS8.

Lattice parameters (Å, degrees): 8.138 8.138 8.138 60.22 60.22 60.22
Fractional positions:
Sr 0.000 0.000 0.000
Y 0.119 0.626 0.626
Y 0.249 0.249 0.249
Y 0.626 0.119 0.626
Y 0.626 0.626 0.119
Tm 0.626 0.626 0.626
S 0.382 0.382 0.382
S 0.385 0.385 0.850
S 0.385 0.850 0.385
S 0.418 0.858 0.858
S 0.850 0.385 0.385
S 0.858 0.418 0.858
S 0.858 0.858 0.418
S 0.861 0.861 0.861

Values from the calculation:
Space group ... R3m (160)
D(E_F) ... 3.341 states/eV/cell
E_form (uncorrected) ... -1.998 eV per atom

No. 12
VASP calculation (PBE-GGA) on a relaxed structure of Pu3Mn5H12.

Lattice parameters (Å, degrees): 9.882 9.882 9.882 109.47 109.47 109.47
Fractional positions:
Pu 0.125 0.250 0.375
Pu 0.125 0.375 0.750
Pu 0.250 0.375 0.125
Pu 0.250 0.875 0.625
Pu 0.375 0.125 0.250
Pu 0.375 0.750 0.125
Pu 0.625 0.250 0.875
Pu 0.625 0.875 0.750
Pu 0.750 0.125 0.375
Pu 0.750 0.625 0.875
Pu 0.875 0.625 0.250
Pu 0.875 0.750 0.625
Mn 0.000 0.000 0.000
Mn 0.000 0.000 0.500
Mn 0.000 0.500 0.000
Mn 0.000 0.500 0.500
Mn 0.125 0.750 0.875
Mn 0.125 0.875 0.250
Mn 0.250 0.125 0.875
Mn 0.250 0.625 0.375
Mn 0.375 0.250 0.625
Mn 0.375 0.625 0.750
Mn 0.500 0.000 0.000
Mn 0.500 0.000 0.500
Mn 0.500 0.500 0.000
Mn 0.500 0.500 0.500
Mn 0.625 0.375 0.250
Mn 0.625 0.750 0.375
Mn 0.750 0.375 0.625
Mn 0.750 0.875 0.125
Mn 0.875 0.125 0.750
Mn 0.875 0.250 0.125
H 0.022 0.189 0.106
H 0.022 0.334 0.917
H 0.083 0.606 0.417
H 0.083 0.689 0.666
H 0.083 0.894 0.417
H 0.083 0.978 0.666
H 0.106 0.022 0.189
H 0.106 0.583 0.917
H 0.166 0.189 0.583
H 0.166 0.478 0.583
H 0.189 0.106 0.022
H 0.189 0.583 0.166
H 0.311 0.334 0.917
H 0.311 0.478 0.394
H 0.334 0.917 0.022
H 0.334 0.917 0.311
H 0.394 0.311 0.478
H 0.394 0.583 0.917
H 0.417 0.083 0.606
H 0.417 0.083 0.894
H 0.417 0.834 0.522
H 0.417 0.834 0.811
H 0.478 0.394 0.311
H 0.478 0.583 0.166
H 0.522 0.417 0.834
H 0.522 0.606 0.689
H 0.583 0.166 0.189
H 0.583 0.166 0.478
H 0.583 0.917 0.106
H 0.583 0.917 0.394
H 0.606 0.417 0.083
H 0.606 0.689 0.522
H 0.666 0.083 0.689
H 0.666 0.083 0.978
H 0.689 0.522 0.606
H 0.689 0.666 0.083
H 0.811 0.417 0.834
H 0.811 0.894 0.978
H 0.834 0.522 0.417
H 0.834 0.811 0.417
H 0.894 0.417 0.083
H 0.894 0.978 0.811
H 0.917 0.022 0.334
H 0.917 0.106 0.583
H 0.917 0.311 0.334
H 0.917 0.394 0.583
H 0.978 0.666 0.083
H 0.978 0.811 0.894

Values from the calculation:
Space group ... Ia-3d (230)
D(E_F) ... 167.325 states/eV/cell
VASP energy ... -6.4373 eV per atom

No. 13
VASP calculation (PBE-GGA) on a relaxed structure of Nd2DyHo2Tm2.

Lattice parameters (Å, degrees): 6.094 6.094 11.782 108.34 108.34 33.43
Fractional positions:
Nd 0.171 0.171 0.085
Nd 0.829 0.829 0.915
Dy 0.500 0.500 0.500
Ho 0.050 0.050 0.768
Ho 0.950 0.950 0.232
Tm 0.273 0.273 0.635
Tm 0.727 0.727 0.365

Values from the calculation:
Space group ... C2/m (12)
D(E_F) ... 11.384 states/eV/cell
Formation energy from the elements ... 58.2 kJ/mol of formula units

No. 14
VASP calculation (PBE-GGA) on a relaxed structure of Ce3SmRu8.

Lattice parameters (Å, degrees): 9.321 9.321 9.321 33.41 33.41 33.41
Fractional positions:
Ce 0.000 0.000 0.000
Ce 0.125 0.125 0.125
Ce 0.626 0.626 0.626
Sm 0.501 0.501 0.501
Ru 0.063 0.563 0.563
Ru 0.064 0.064 0.563
Ru 0.064 0.563 0.064
Ru 0.313 0.313 0.313
Ru 0.563 0.063 0.563
Ru 0.563 0.064 0.064
Ru 0.563 0.563 0.063
Ru 0.814 0.814 0.814

Values from the calculation:
Space group ... R3m (160)
D(E_F) ... 12.539 states/eV/cell
Formation energy from the elements ... -299.8 kJ/mol of formula units

No. 15
VASP calculation (PBE-GGA) on a relaxed structure of Be2PtPb.

Lattice parameters (Å, degrees): 4.577 4.577 4.577 126.70 126.70 78.75
Fractional positions:
Be 0.250 0.750 0.500
Be 0.750 0.250 0.500
Pt 0.000 0.000 0.000
Pb 0.500 0.500 0.000

Values from the calculation:
Space group ... I4/mmm (139)
D(E_F) ... 0.974 states/eV/cell
Formation energy from the elements ... 98.1 kJ/mol of formula units

No. 16
VASP calculation (PBE-GGA) on a relaxed structure of ZrTiCd2O6.

Lattice parameters (Å, degrees): 5.596 5.596 4.459 90.00 90.00 90.00
Fractional positions:
Zr 0.000 0.000 0.000
Ti 0.500 0.500 0.993
Cd 0.000 0.500 0.387
Cd 0.500 0.000 0.387
O 0.000 0.000 0.555
O 0.259 0.259 0.100
O 0.259 0.741 0.100
O 0.500 0.500 0.599
O 0.741 0.259 0.100
O 0.741 0.741 0.100

Values from the calculation:
Space group ... P4mm (99)
E_form (uncorrected) ... -2.143 eV per atom

No. 17
VASP calculation (PBE-GGA) on a relaxed structure of Ag2SbCl.

Lattice parameters (Å, degrees): 3.334 3.334 7.740 90.00 90.00 90.00
Fractional positions:
Ag 0.000 0.000 0.245
Ag 0.000 0.000 0.755
Sb 0.500 0.500 0.500
Cl 0.500 0.500 0.000

Values from the calculation:
Space group ... P4/mmm (123)
D(E_F) ... 1.851 states/eV/cell
E_form (uncorrected) ... -0.045 eV per atom
Distance to the lowest polymorph of the same formula ... 37 kJ/mol of formula units

No. 18
VASP calculation (PBE-GGA) on a relaxed structure of CoHBrN.

Lattice parameters (Å, degrees): 4.529 3.238 4.914 90.00 98.93 90.00
Fractional positions:
Co 0.000 0.000 0.000
H 0.252 0.000 0.830
Br 0.622 0.000 0.640
N 0.064 0.500 0.090

Values from the calculation:
Space group ... Pm (6)
D(E_F) ... 0.988 states/eV/cell
Distance to the lowest polymorph of the same formula ... 141 kJ/mol of formula units